KHWN2 | PBE | optimized geometry

It has space group P4/mmm (No. 123), with a = 4.113 Å, b = 4.113 Å, c = 5.282 Å, α = 90.00°, β = 90.00° and γ = 90.00°. Symmetry generates all atoms from K at (0.000, 0.000, 0.000), H at (0.500, 0.500, 0.500), W at (0.000, 0.000, 0.500) and N at (0.000, 0.500, 0.000).

As for the total moment: 0.01 μB per atom. Its total energy is -12.70 eV per cell. For the density of states at the Fermi level, the calculation gives 7.9 states/eV/f.u.

Tl2MoRu | PBE | optimized geometry

It has space group P4/mmm (No. 123), with a = 4.793 Å, b = 4.793 Å, c = 3.240 Å, α = 90.00°, β = 90.00° and γ = 90.00°. Symmetry generates all atoms from Tl at (0.000, 0.500, 0.000), Mo at (0.000, 0.000, 0.500) and Ru at (0.500, 0.500, 0.500).

As for the total moment: 0.20 μB per atom. The value obtained for the energy above the most stable polymorph in this dataset is 495 meV per atom. For the density of states at the Fermi level, the calculation gives 5.3 states/eV/f.u. As for the formation energy: 3.3 eV per formula unit.

Cs2TlIn3Sn4 | PBE | optimized geometry

It has space group P-4m2 (No. 115), with a = 5.336 Å, b = 5.336 Å, c = 12.075 Å, α = 90.00°, β = 90.00° and γ = 90.00°. Symmetry generates all atoms from Cs at (0.000, 0.500, 0.249), Tl at (0.500, 0.500, 0.000), In at (0.000, 0.000, 0.000), In at (0.000, 0.500, 0.625), Sn at (0.000, 0.000, 0.500), Sn at (0.000, 0.500, 0.871) and Sn at (0.500, 0.500, 0.500).

As for the total moment: 0.00 μB per atom. For the density of states at the Fermi level, the calculation gives 2.6 states/eV/f.u. As for the formation energy: -1.6 eV per formula unit.

HfCrCuS4 | PBE | optimized geometry

It has space group Pnma (No. 62), with a = 7.026 Å, b = 7.092 Å, c = 12.138 Å, α = 90.00°, β = 90.00° and γ = 90.00°. Symmetry generates all atoms from Hf at (0.058, 0.250, 0.171), Cr at (0.170, 0.250, 0.424), Cu at (0.231, 0.250, 0.886), S at (0.071, 0.750, 0.026), S at (0.143, 0.750, 0.560) and S at (0.242, 0.528, 0.796).

As for the total moment: 0.43 μB per atom. The value obtained for the energy above the most stable polymorph in this dataset is 285 meV per atom. For the density of states at the Fermi level, the calculation gives 0.5 states/eV/f.u. As for the uncorrected formation energy: -0.718 eV per atom.

Tc2MoAs | PBE | optimized geometry

It has space group R-3m (No. 166, hexagonal axes), with a = 2.9009 Å, b = 2.9009 Å, c = 25.0803 Å, α = 90.00°, β = 90.00° and γ = 120.00°. Symmetry generates all atoms from Tc at (0.0000, 0.0000, 0.2485), Mo at (0.0000, 0.0000, 0.0000) and As at (0.0000, 0.0000, 0.5000).

As for the total moment: 0.00 μB per atom. For the density of states at the Fermi level, the calculation gives 2.9 states/eV/f.u. As for the formation energy: 0.5 eV per formula unit.

Tb2Ga5Co2Rh | PBE | optimized geometry

It has space group P4/mbm (No. 127), with a = 9.131 Å, b = 9.131 Å, c = 3.989 Å, α = 90.00°, β = 90.00° and γ = 90.00°. Symmetry generates all atoms from Tb at (0.182, 0.318, 0.000), Ga at (0.000, 0.500, 0.500), Ga at (0.058, 0.796, 0.500), Co at (0.113, 0.613, 0.000) and Rh at (0.000, 0.000, 0.000).

As for the total moment: 0.00 μB per atom. For the density of states at the Fermi level, the calculation gives 8.1 states/eV/f.u. As for the formation energy: -4.4 eV per formula unit.

MgSnO | PBE | optimized geometry

It has space group Cm (No. 8), with a = 5.640 Å, b = 3.378 Å, c = 6.068 Å, α = 90.00°, β = 106.90° and γ = 90.00°. Symmetry generates all atoms from Mg at (0.000, 0.000, 0.000), Sn at (0.007, 0.500, 0.508) and O at (0.136, 0.500, 0.919).

As for the total moment: 0.00 μB per atom. The value obtained for the energy above the most stable polymorph in this dataset is 29 meV per atom. For the density of states at the Fermi level, the calculation gives 1.1 states/eV/f.u. As for the uncorrected formation energy: -1.394 eV per atom.

NaGa2HgH | PBE | optimized geometry

It has space group P4/mmm (No. 123), with a = 4.441 Å, b = 4.441 Å, c = 4.471 Å, α = 90.00°, β = 90.00° and γ = 90.00°. Symmetry generates all atoms from Na at (0.000, 0.000, 0.000), Ga at (0.000, 0.500, 0.500), Hg at (0.500, 0.500, 0.000) and H at (0.000, 0.000, 0.500).

As for the total moment: 0.00 μB per atom. Its total energy is -10.72 eV per cell. For the density of states at the Fermi level, the calculation gives 0.9 states/eV/f.u.

ScPaO6 | PBE | optimized geometry

It has space group Fm-3m (No. 225), with a = 8.418 Å, b = 8.418 Å, c = 8.418 Å, α = 90.00°, β = 90.00° and γ = 90.00°. Symmetry generates all atoms from Sc at (0.000, 0.000, 0.000), Pa at (0.000, 0.000, 0.500) and O at (0.000, 0.000, 0.248).

As for the total moment: 0.50 μB per atom. For the density of states at the Fermi level, the calculation gives 3.7 states/eV/f.u. As for the uncorrected formation energy: -2.042 eV per atom.

RbNaTl5 | PBE | optimized geometry

It has space group P4/mmm (No. 123), with a = 4.719 Å, b = 4.719 Å, c = 11.232 Å, α = 90.00°, β = 90.00° and γ = 90.00°. Symmetry generates all atoms from Rb at (0.000, 0.000, 0.000), Na at (0.500, 0.500, 0.500), Tl at (0.000, 0.000, 0.500) and Tl at (0.000, 0.500, 0.276).

As for the total moment: 0.00 μB per atom. For the density of states at the Fermi level, the calculation gives 5.3 states/eV/f.u. As for the formation energy: -0.4 eV per formula unit.

BC2 | PBE | optimized geometry

It has space group P1 (No. 1), with a = 3.737 Å, b = 4.515 Å, c = 5.195 Å, α = 104.97°, β = 91.32° and γ = 113.44°. Symmetry generates all atoms from B at (0.000, 0.000, 0.000), B at (0.006, 0.025, 0.519), B at (0.651, 0.338, 0.825), B at (0.958, 0.383, 0.147), C at (0.271, 0.001, 0.769), C at (0.286, 0.035, 0.275), C at (0.340, 0.681, 0.686), C at (0.363, 0.709, 0.192), C at (0.582, 0.684, 0.942), C at (0.585, 0.683, 0.441), C at (0.666, 0.365, 0.366) and C at (0.938, 0.363, 0.600).

As for the total moment: 0.00 μB per atom. The value obtained for the energy above the most stable polymorph in this dataset is 138 meV per atom. For the density of states at the Fermi level, the calculation gives 0.4 states/eV/f.u. As for the formation energy: 1.1 eV per formula unit.

GaAu | PBE | optimized geometry

It has space group Pmn2_1 (No. 31), with a = 13.794 Å, b = 3.699 Å, c = 4.365 Å, α = 90.00°, β = 90.00° and γ = 90.00°. Symmetry generates all atoms from Ga at (0.000, 0.139, 0.000), Ga at (0.168, 0.508, 0.250), Au at (0.000, 0.685, 0.487) and Au at (0.176, 0.026, 0.762).

As for the total moment: 0.00 μB per atom. For the density of states at the Fermi level, the calculation gives 0.6 states/eV/f.u. As for the formation energy: -0.3 eV per formula unit.

Look up the total moment of the third one. 0.00 μB per atom